(1)
Entry from Alexandria via LeMat-Bulk: an optimized crystal structure of PmHo5Al4 (PBE).

Computed properties:
Formation energy   -0.312 eV/atom
DOS(E_F)   0.79 states/eV per atom
E   -4.573 eV/atom

Geometry as extended XYZ:
```
10
Lattice="3.568 0.000 0.000 0.000 3.568 0.000 0.000 0.000 19.676" Properties=species:S:1:pos:R:3 pbc="T T T"
Al 0.000 0.000 8.032
Al 0.000 0.000 4.409
Al 0.000 0.000 15.267
Al 0.000 0.000 11.644
Ho 1.784 1.784 2.601
Ho 1.784 1.784 13.444
Ho 1.784 1.784 9.838
Ho 1.784 1.784 6.232
Ho 1.784 1.784 17.075
Pm 0.000 0.000 0.000
```

---

(2)
Entry from Alexandria via LeMat-Bulk: an optimized crystal structure of LaCdCl2 (PBE).

Computed properties:
DOS(E_F)   0.46 states/eV per atom
E   -3.565 eV/atom
ΔE to the lowest computed polymorph   0.250 eV/atom

Geometry as extended XYZ:
```
4
Lattice="4.378 0.000 0.000 0.000 4.754 0.000 0.000 0.000 4.754" Properties=species:S:1:pos:R:3 pbc="T T T"
Cd 2.189 0.000 2.377
Cl 0.000 0.000 0.000
Cl 0.000 2.377 2.377
La 2.189 2.377 0.000
```

---

(3)
Entry from Alexandria via LeMat-Bulk: an optimized crystal structure of He (PBE).

Computed properties:
Formation energy   0.003 eV/atom
DOS(E_F)   0.00 states/eV per atom
E   -0.005 eV/atom
ΔE to the lowest computed polymorph   0.003 eV/atom

Geometry as extended XYZ:
```
1
Lattice="-1.940 -0.150 1.820 -0.187 -1.392 -2.265 1.185 -1.952 1.102" Properties=species:S:1:pos:R:3 pbc="T T T"
He 0.000 0.000 0.000
```

---

- Which value of E does entry 3 give?
  -0.005 eV/atom